No. 1
The following is a PBE-GGA calculation of crystalline Er4TePb3 at its relaxed geometry, from the Alexandria database.

```
Er4TePb3
1.0
12.471 0.000 0.000
0.000 9.477 0.000
-0.486 0.000 4.032
Er Te Pb
8 2 6
Cartesian
0.000 2.337 0.000 Er
0.000 7.140 0.000 Er
2.874 0.000 2.066 Er
2.876 4.738 1.966 Er
6.236 2.401 0.000 Er
6.236 7.076 0.000 Er
9.111 0.000 1.966 Er
9.110 4.738 2.066 Er
-0.243 0.000 2.016 Te
5.993 4.738 2.016 Te
-0.243 4.738 2.016 Pb
3.118 2.369 0.000 Pb
3.118 7.108 0.000 Pb
5.993 0.000 2.016 Pb
9.353 2.369 0.000 Pb
9.353 7.108 0.000 Pb
```

Computed properties:
Total energy (eV/atom): -4.6711
Magnetization (μB per atom): 0.0000
Formation energy (no corrections) (eV per atom): -0.61


No. 2
The following is a PBE-GGA calculation of crystalline LaNdTlSn at its relaxed geometry, from the Alexandria database.

```
LaNdTlSn
1.0
7.860 0.000 0.000
0.000 7.860 0.000
0.000 0.000 7.860
La Nd Tl Sn
4 4 4 4
Cartesian
0.000 0.000 0.000 La
0.000 3.930 3.930 La
3.930 0.000 3.930 La
3.930 3.930 0.000 La
0.000 0.000 3.930 Nd
0.000 3.930 0.000 Nd
3.930 0.000 0.000 Nd
3.930 3.930 3.930 Nd
1.965 1.965 1.965 Tl
1.965 5.895 5.895 Tl
5.895 1.965 5.895 Tl
5.895 5.895 1.965 Tl
1.965 1.965 5.895 Sn
1.965 5.895 1.965 Sn
5.895 1.965 1.965 Sn
5.895 5.895 5.895 Sn
```

Computed properties:
ΔE_f (eV/atom): -0.54
Total energy (eV/atom): -4.5543
Magnetization (μB per atom): 0.0000
Energy above the most stable polymorph in this dataset (eV per atom): 0.0065


No. 3
The following is a PBE-GGA calculation of crystalline LiMn2W at its relaxed geometry, from the Alexandria database.

```
LiMn2W
1.0
2.521 0.000 0.000
0.000 4.081 0.000
-0.703 0.000 4.831
Li Mn W
1 2 1
Cartesian
0.000 0.000 0.000 Li
0.162 2.040 3.705 Mn
1.656 2.040 1.127 Mn
0.909 0.000 2.416 W
```

Computed properties:
ΔE_f (eV/atom): 0.37
Total energy (eV/atom): -7.9305
Magnetization (μB per atom): 0.0002


No. 4
The following is a PBE-GGA calculation of crystalline PmHoTmTh at its relaxed geometry, from the Alexandria database.

```
PmHoTmTh
1.0
8.024 0.000 0.000
0.000 8.024 0.000
0.000 0.000 8.024
Pm Ho Tm Th
4 4 4 4
Cartesian
0.000 0.000 0.000 Pm
0.000 4.012 4.012 Pm
4.012 0.000 4.012 Pm
4.012 4.012 0.000 Pm
2.006 2.006 6.018 Ho
2.006 6.018 2.006 Ho
6.018 2.006 2.006 Ho
6.018 6.018 6.018 Ho
0.000 0.000 4.012 Tm
0.000 4.012 0.000 Tm
4.012 0.000 0.000 Tm
4.012 4.012 4.012 Tm
2.006 2.006 2.006 Th
2.006 6.018 6.018 Th
6.018 2.006 6.018 Th
6.018 6.018 2.006 Th
```

Computed properties:
ΔE_f (eV/atom): 0.18
Total energy (eV/atom): -5.1284
Magnetization (μB per atom): 0.0000
Energy above the most stable polymorph in this dataset (eV per atom): 0.1633


No. 5
The following is a PBE-GGA calculation of crystalline GaTc2Os2 at its relaxed geometry, from the Alexandria database.

```
GaTc2Os2
1.0
7.545 0.000 0.000
0.000 7.545 0.000
0.000 0.000 2.778
Ga Tc Os
2 4 4
Cartesian
0.000 0.000 0.000 Ga
3.772 3.772 0.000 Ga
1.236 2.536 1.389 Tc
2.536 6.309 1.389 Tc
5.009 1.236 1.389 Tc
6.309 5.009 1.389 Tc
0.952 4.724 0.000 Os
2.821 0.952 0.000 Os
4.724 6.593 0.000 Os
6.593 2.821 0.000 Os
```

Computed properties:
ΔE_f (eV/atom): 0.25
Total energy (eV/atom): -8.9894
Magnetization (μB per atom): 0.0000


No. 6
The following is a PBE-GGA calculation of crystalline Li2CaBe at its relaxed geometry, from the Alexandria database.

```
Li2CaBe
1.0
4.176 0.000 0.000
0.000 4.176 0.000
0.000 0.000 20.106
Li Ca Be
8 4 4
Cartesian
0.724 3.132 2.513 Li
1.044 0.724 17.593 Li
1.044 1.364 7.540 Li
1.364 3.132 12.566 Li
2.812 1.044 12.566 Li
3.132 2.812 7.540 Li
3.132 3.452 17.593 Li
3.452 1.044 2.513 Li
0.000 0.000 10.053 Ca
0.000 2.088 15.080 Ca
2.088 0.000 5.027 Ca
2.088 2.088 0.000 Ca
0.000 0.000 0.000 Be
0.000 2.088 5.027 Be
2.088 0.000 15.080 Be
2.088 2.088 10.053 Be
```

Computed properties:
ΔE_f (eV/atom): 0.39
Total energy (eV/atom): -2.0025
Magnetization (μB per atom): 0.0000